1 | Here is a relaxed structure of TeIr2Br from the Alexandria database. Energies are from PBE-GGA. Values from VASP.

Cell and atoms, written as Quantum ESPRESSO input:
```
&SYSTEM
  ibrav = 0, nat = 4, ntyp = 3
/
ATOMIC_SPECIES
Ir 192.22 Ir.upf
Te 127.60 Te.upf
Br 79.90 Br.upf
CELL_PARAMETERS angstrom
-0.188 1.800 -4.375
-4.150 1.374 -1.819
-0.901 4.606 -0.629
ATOMIC_POSITIONS angstrom
Ir -1.310 1.945 -1.706
Te -3.929 5.834 -5.118
Ir 0.000 0.000 0.000
Br -2.619 3.889 -3.412
```

***

2 | Here is a relaxed structure of TeIr2Br from the Alexandria database. Energies are from PBE-GGA. Values from VASP.

Cell and atoms, written as Quantum ESPRESSO input:
```
&SYSTEM
  ibrav = 0, nat = 4, ntyp = 3
/
ATOMIC_SPECIES
Ir 192.22 Ir.upf
Br 79.90 Br.upf
Te 127.60 Te.upf
CELL_PARAMETERS angstrom
-2.420 -2.791 -0.136
1.822 -1.442 -2.814
4.362 -4.003 4.522
ATOMIC_POSITIONS angstrom
Ir 0.069 -2.508 0.006
Br 4.281 -6.211 1.046
Ir 1.726 -1.406 -1.852
Te 2.601 -2.276 0.412
```

***

The structure with the least stability is 1.

***

1 | Here is a relaxed structure of PAuC from the Alexandria database. Energies are from PBE-GGA. Values from VASP.

Cell and atoms, written as Quantum ESPRESSO input:
```
&SYSTEM
  ibrav = 0, nat = 6, ntyp = 3
/
ATOMIC_SPECIES
C 12.01 C.upf
P 30.97 P.upf
Au 196.97 Au.upf
CELL_PARAMETERS angstrom
-1.906 3.489 0.166
-1.698 -0.813 -2.415
-4.399 -7.224 5.525
ATOMIC_POSITIONS angstrom
C -4.307 -1.187 1.487
P -3.182 -0.518 0.471
P -4.533 -3.723 4.441
C -5.658 -4.392 5.457
Au -3.061 1.858 -0.415
Au -4.411 -1.347 3.556
```

***

2 | Here is a relaxed structure of PAuC from the Alexandria database. Energies are from PBE-GGA. Values from VASP.

Cell and atoms, written as Quantum ESPRESSO input:
```
&SYSTEM
  ibrav = 0, nat = 6, ntyp = 3
/
ATOMIC_SPECIES
Au 196.97 Au.upf
C 12.01 C.upf
P 30.97 P.upf
CELL_PARAMETERS angstrom
-3.527 1.330 -2.221
0.932 -2.121 -2.749
-3.904 -6.428 3.637
ATOMIC_POSITIONS angstrom
Au -4.368 -1.666 -0.195
C -3.781 -5.832 3.219
Au -5.854 -5.941 0.249
P -2.699 -3.189 -0.805
P -5.117 -5.343 2.389
C -1.364 -3.678 0.025
```

***

The structure with the least stability is 1.

***

1 | Here is a relaxed structure of TaSb2Cl from the Alexandria database. Energies are from PBE-GGA. Values from VASP.

Cell and atoms, written as Quantum ESPRESSO input:
```
&SYSTEM
  ibrav = 0, nat = 4, ntyp = 3
/
ATOMIC_SPECIES
Cl 35.45 Cl.upf
Sb 121.76 Sb.upf
Ta 180.95 Ta.upf
CELL_PARAMETERS angstrom
8.543 -0.003 0.004
6.719 5.276 -0.004
-7.227 -3.806 2.503
ATOMIC_POSITIONS angstrom
Cl 4.473 -0.586 1.253
Sb 1.431 0.494 0.000
Sb 6.200 2.142 0.000
Ta 3.562 2.053 1.250
```

***

2 | Here is a relaxed structure of TaSb2Cl from the Alexandria database. Energies are from PBE-GGA. Values from VASP.

Cell and atoms, written as Quantum ESPRESSO input:
```
&SYSTEM
  ibrav = 0, nat = 4, ntyp = 3
/
ATOMIC_SPECIES
Sb 121.76 Sb.upf
Ta 180.95 Ta.upf
Cl 35.45 Cl.upf
CELL_PARAMETERS angstrom
5.411 -0.003 -0.050
4.396 3.155 -0.050
3.480 1.118 7.116
ATOMIC_POSITIONS angstrom
Sb 10.031 3.224 4.436
Ta 7.268 2.336 4.267
Sb 3.338 1.073 6.447
Cl 2.772 0.891 2.488
```

***

The structure with the least stability is 1.

***

1 | Here is a relaxed structure of BeIn2Si from the Alexandria database. Energies are from PBE-GGA. Values from VASP.

Cell and atoms, written as Quantum ESPRESSO input:
```
&SYSTEM
  ibrav = 0, nat = 4, ntyp = 3
/
ATOMIC_SPECIES
Be 9.01 Be.upf
In 114.82 In.upf
Si 28.09 Si.upf
CELL_PARAMETERS angstrom
-1.323 0.419 -4.160
-4.168 0.218 1.347
0.310 4.036 0.307
ATOMIC_POSITIONS angstrom
Be -1.929 2.127 0.827
In -2.745 0.318 -1.407
Si -0.506 2.227 -1.926
In 0.000 0.000 0.000
```

***

2 | Here is a relaxed structure of BeIn2Si from the Alexandria database. Energies are from PBE-GGA. Values from VASP.

Cell and atoms, written as Quantum ESPRESSO input:
```
&SYSTEM
  ibrav = 0, nat = 4, ntyp = 3
/
ATOMIC_SPECIES
Si 28.09 Si.upf
Be 9.01 Be.upf
In 114.82 In.upf
CELL_PARAMETERS angstrom
-5.067 -3.597 -1.396
-1.463 -3.156 -5.335
3.950 1.247 4.839
ATOMIC_POSITIONS angstrom
Si -2.801 -2.896 -2.887
Be -0.568 -2.827 -2.115
In -2.175 -2.846 0.055
In -0.303 -0.313 -0.312
```

***

The structure with the least stability is 1.

***

1 | Here is a relaxed structure of Ni2PbBr from the Alexandria database. Energies are from PBE-GGA. Values from VASP.

Cell and atoms, written as Quantum ESPRESSO input:
```
&SYSTEM
  ibrav = 0, nat = 4, ntyp = 3
/
ATOMIC_SPECIES
Ni 58.69 Ni.upf
Pb 207.20 Pb.upf
Br 79.90 Br.upf
CELL_PARAMETERS angstrom
-2.167 1.696 -1.864
-2.501 -1.132 1.874
0.714 5.827 4.473
ATOMIC_POSITIONS angstrom
Ni 0.030 0.242 0.186
Pb 0.295 2.409 1.849
Br -1.719 5.304 3.860
Ni -2.203 1.350 0.825
```

***

2 | Here is a relaxed structure of Ni2PbBr from the Alexandria database. Energies are from PBE-GGA. Values from VASP.

Cell and atoms, written as Quantum ESPRESSO input:
```
&SYSTEM
  ibrav = 0, nat = 4, ntyp = 3
/
ATOMIC_SPECIES
Ni 58.69 Ni.upf
Pb 207.20 Pb.upf
Br 79.90 Br.upf
CELL_PARAMETERS angstrom
-0.971 3.213 -0.005
-2.850 -0.858 2.195
3.593 1.093 5.102
ATOMIC_POSITIONS angstrom
Ni -1.937 -0.582 1.939
Pb -0.299 1.665 1.822
Br 0.072 1.783 5.471
Ni -0.541 -0.158 3.905
```

***

The structure with the least stability is 1.

***

1 | Here is a relaxed structure of CdHgS2 from the Alexandria database. Energies are from PBE-GGA. Values from VASP.

Cell and atoms, written as Quantum ESPRESSO input:
```
&SYSTEM
  ibrav = 0, nat = 4, ntyp = 3
/
ATOMIC_SPECIES
S 32.06 S.upf
Cd 112.41 Cd.upf
Hg 200.59 Hg.upf
CELL_PARAMETERS angstrom
6.869 0.011 0.006
-0.004 4.220 0.004
-0.004 2.105 3.658
ATOMIC_POSITIONS angstrom
S 1.267 1.652 0.541
Cd 5.557 1.665 0.548
Hg 2.138 3.760 1.761
S 4.737 3.772 1.769
```

***

2 | Here is a relaxed structure of CdHgS2 from the Alexandria database. Energies are from PBE-GGA. Values from VASP.

Cell and atoms, written as Quantum ESPRESSO input:
```
&SYSTEM
  ibrav = 0, nat = 8, ntyp = 3
/
ATOMIC_SPECIES
Hg 200.59 Hg.upf
S 32.06 S.upf
Cd 112.41 Cd.upf
CELL_PARAMETERS angstrom
-2.234 -2.589 -4.284
0.302 -4.753 2.714
-6.129 -2.771 1.363
ATOMIC_POSITIONS angstrom
Hg -4.664 -4.515 -1.853
S -5.905 -5.161 2.690
S -3.474 -3.234 0.259
S -0.889 -6.034 0.603
Cd -0.966 -3.671 -0.785
Cd -3.397 -5.597 1.646
Hg 0.000 0.000 0.000
S -4.587 -6.879 -0.465
```

***

The structure with the least stability is 2.